Compound: In2BiSe
Source: the Alexandria database
Functional: GGA-PBE
Structure: optimized geometry

Density of states at the Fermi level (states/eV per cell): 1.63
Spin magnetization (μB per cell): 0.00
ΔE_f (raw) (eV per atom): -0.152
Final energy (eV/f.u.): -13.45
Volume (Å³ per atom): 37.7
Relative energy among the computed polymorphs (eV per formula unit): 0.19
Symmetry: No. 160

Cell: 4.816 4.816 8.014 Å, 72.51 72.51 60.00°
Fractional coordinates of all 4 atoms:
Bi  0.488  0.488  0.535
In  0.865  0.865  0.406
In  0.353  0.353  0.940
Se  0.986  0.986  0.041